Sm4CdI5 | PBE-GGA | optimized geometry

As for the formation energy from raw total energies: -988 meV per atom.

```
10
Lattice="9.7124 -2.1108 0.0000 9.7124 2.1108 0.0000 -1.9501 0.0000 9.0926" Properties=species:S:1:pos:R:3 pbc="T T T"
Sm -0.4252 0.0000 2.1044
Sm 4.8625 0.0000 8.4096
Sm 12.6122 0.0000 0.6829
Sm 17.8998 0.0000 6.9882
Cd 9.7124 0.0000 0.0000
I 2.6161 0.0000 3.0417
I 1.7302 0.0000 7.4822
I 8.7373 0.0000 4.5463
I 15.7445 0.0000 1.6104
I 14.8585 0.0000 6.0509
```


HgTe2O6 | PBE-GGA | optimized geometry

As for the formation energy from raw total energies: -669 meV per atom. The calculation puts the relative energy among the computed polymorphs at 86.2 meV per atom.

```
9
Lattice="5.2967 -1.9684 0.0000 5.2967 1.9684 0.0000 -3.7900 0.0000 6.6636" Properties=species:S:1:pos:R:3 pbc="T T T"
Hg 0.0000 0.0000 0.0000
Te -0.5221 0.0000 4.2481
Te 7.3256 0.0000 2.4155
O -2.3993 0.0000 4.5962
O 1.6543 0.0000 2.7450
O 0.2289 0.0000 6.0017
O 6.5746 0.0000 0.6619
O 5.1491 0.0000 3.9186
O 9.2027 0.0000 2.0674
```


Sc2NbVB | PBE-GGA | optimized geometry

The formation enthalpy at 0 K is 1.012 eV/atom.

```
5
Lattice="4.7392 0.0000 0.0000 0.0000 4.7392 0.0000 0.0000 0.0000 4.0502" Properties=species:S:1:pos:R:3 pbc="T T T"
Sc 0.0000 2.3696 0.0000
Sc 2.3696 0.0000 0.0000
Nb 0.0000 0.0000 2.0251
V 2.3696 2.3696 0.0000
B 2.3696 2.3696 2.0251
```


Cu3IrBr9 | PBE-GGA | optimized geometry

As for the formation energy from raw total energies: -209 meV per atom.

```
26
Lattice="8.7865 -4.4980 0.0000 8.7865 4.4980 0.0000 -7.6283 0.0000 10.0343" Properties=species:S:1:pos:R:3 pbc="T T T"
Cu 4.9723 4.0787 5.0172
Cu 2.2800 0.9948 5.9215
Cu 6.0941 -0.9948 0.9043
Cu 7.6964 0.6853 4.3879
Cu 3.8822 -0.6853 9.4051
Cu 8.7865 -4.0787 0.0000
Ir -1.3272 2.0737 7.6839
Ir 2.4869 -2.0737 2.6668
Br 0.7017 3.4403 8.1366
Br 2.7590 3.2844 5.3968
Br -3.3035 0.6033 7.1508
Br -0.1181 0.9010 5.8049
Br 0.5106 -0.6033 2.1337
Br 6.2599 2.5073 3.7806
Br -0.3985 0.3370 9.2425
Br 3.6961 -0.9010 0.7877
Br 3.4156 -0.3370 4.2253
Br 3.8000 1.0385 7.7425
Br 10.4473 0.5742 1.1877
Br 9.9789 1.5190 4.6061
Br 7.6142 -1.0385 2.7253
Br 6.6331 -0.5742 6.2049
Br 6.5732 -3.2844 0.3797
Br 4.5159 -3.4403 3.1194
Br 2.4458 -2.5073 8.7978
Br 6.1648 -1.5190 9.6232
```


K2LaSi2 | PBE-GGA | optimized geometry

As for the formation energy from raw total energies: 76 meV per atom. The calculation puts the relative energy among the computed polymorphs at 82.4 meV per atom.

```
10
Lattice="7.6080 0.0000 0.0000 0.0000 7.6080 0.0000 0.0000 0.0000 5.7896" Properties=species:S:1:pos:R:3 pbc="T T T"
K 1.2826 2.5214 0.0000
K 2.5214 6.3254 0.0000
K 5.0866 1.2826 0.0000
K 6.3254 5.0866 0.0000
La 0.0000 0.0000 2.8948
La 3.8040 3.8040 2.8948
Si 0.8171 4.6211 2.8948
Si 2.9869 0.8171 2.8948
Si 4.6211 6.7909 2.8948
Si 6.7909 2.9869 2.8948
```


MgScIrAu | PBE-GGA | optimized geometry

The formation enthalpy at 0 K is -0.677 eV/atom.

```
4
Lattice="0.0000 3.2610 3.2610 3.2610 0.0000 3.2610 3.2610 3.2610 0.0000" Properties=species:S:1:pos:R:3 pbc="T T T"
Mg 0.0000 0.0000 0.0000
Sc 3.2610 3.2610 3.2610
Ir 4.8915 4.8915 4.8915
Au 1.6305 1.6305 1.6305
```